DFT (PBE) results for crystalline ReHAu2Se at its relaxed geometry.

Results
D(E_F)	0.95	states/eV per atom
crystal system	tetragonal
DFT total energy	-4.099	eV/atom

Cell lengths 5.2117, 3.3659, 5.2117 Å; angles 90.00, 90.00, 90.00 degrees
Last column: nearest neighbours and their distance in Å.
Fractional coordinates of all 5 atoms:
H 0.0000 0.5000 0.0000  2 Re 1.68
Se 0.5000 0.5000 0.5000  8 Au 3.10, 2 Se 3.37
Au 0.0000 0.0000 0.5000  2 Re 2.61
Au 0.5000 0.0000 0.0000  2 Re 2.61
Re 0.0000 0.0000 0.0000  2 H 1.68

***

DFT (PBE) results for crystalline RbGaPb at its relaxed geometry.

Results
D(E_F)	0.47	states/eV per atom
crystal system	orthorhombic
formation enthalpy at 0 K	-0.139	eV/f.u.

Cell lengths 6.1249, 7.3742, 5.0925 Å; angles 90.00, 90.00, 90.00 degrees
Last column: nearest neighbours and their distance in Å.
Fractional coordinates of all 6 atoms:
Rb 0.5000 0.7554 0.9989  4 Ga 3.81-3.82, 6 Pb 4.07-4.13
Rb 0.5000 0.2446 0.4989  4 Ga 3.81-3.82, 6 Pb 4.07-4.13
Pb 0.0000 0.1314 0.9989  2 Ga 3.00, 2 Pb 3.20
Pb 0.0000 0.8686 0.4989  2 Ga 3.00, 2 Pb 3.20
Ga 0.0000 0.5005 0.2466  2 Ga 2.55
Ga 0.0000 0.4995 0.7466  2 Ga 2.55

***

DFT (PBE) results for crystalline Si2SnI8 at its relaxed geometry.

Results
D(E_F)	0.04	states/eV per atom
crystal system	monoclinic
energy relative to the elements, uncorrected	-222	meV/atom

Cell lengths 7.8639, 9.0321, 9.0321 Å; angles 67.93, 88.67, 88.67 degrees
Last column: nearest neighbours and their distance in Å.
Fractional coordinates of all 11 atoms:
Si 0.6451 0.8102 0.8102  4 I 2.51-2.68
Si 0.3549 0.1898 0.1898  4 I 2.51-2.68
Sn 0.0000 0.0000 0.0000  6 I 3.08-3.23
I 0.8200 0.0664 0.6622  1 Si 2.60
I 0.3233 0.3570 0.3570  1 Si 2.51
I 0.6683 0.1147 0.1147  1 Si 2.68
I 0.1800 0.3378 0.9336  1 Si 2.60
I 0.6767 0.6430 0.6430  1 Si 2.51
I 0.3317 0.8853 0.8853  1 Si 2.68
I 0.8200 0.6622 0.0664  1 Si 2.60
I 0.1800 0.9336 0.3378  1 Si 2.60

***

DFT (PBE) results for crystalline LiPrPt at its relaxed geometry.

Results
D(E_F)	0.71	states/eV per atom
crystal system	tetragonal
formation enthalpy at 0 K	-1.777	eV/f.u.
E above lowest polymorph	0.205	eV/atom

Cell lengths 3.8149, 3.8149, 5.2708 Å; angles 111.22, 111.22, 90.00 degrees
Last column: nearest neighbours and their distance in Å.
Fractional coordinates of all 3 atoms:
Pt 0.2881 0.2881 0.5762  5 Pr 3.01-3.19, 5 Li 3.06-3.07
Li 0.6262 0.6262 0.2524  1 Pr 2.80, 5 Pt 3.06-3.07
Pr 0.9357 0.9357 0.8714  1 Li 2.80, 4 Pt 3.01